# PBE VZnCo2N, relaxed
data_VZnCo2N
_cell_length_a 3.793
_cell_length_b 3.793
_cell_length_c 3.881
_cell_angle_alpha 90.00
_cell_angle_beta 90.00
_cell_angle_gamma 90.00
_symmetry_space_group_name_H-M 'P 4/m m m'
_symmetry_Int_Tables_number 123
_symmetry_space_group_name_Hall '-P 4 2'
loop_
_atom_site_label
_atom_site_type_symbol
_atom_site_fract_x
_atom_site_fract_y
_atom_site_fract_z
V1 V 0.000 0.000 0.000
Zn1 Zn 0.500 0.500 0.000
Co1 Co 0.000 0.500 0.500
N1 N 0.000 0.000 0.500
# **Uncorrected energy**: -34.19 eV for the cell shown
# **V**: 11.2 Å³ per atom
# **DOS(E_F)**: 0.78 states/eV/atom
# **Formation energy from raw total energies**: -0.252 eV per atom
# **Calculated density**: 7.384 g cm⁻³

---

# PBE V2ZnCoN, relaxed
data_V2ZnCoN
_cell_length_a 3.911
_cell_length_b 3.911
_cell_length_c 3.798
_cell_angle_alpha 90.00
_cell_angle_beta 90.00
_cell_angle_gamma 90.00
_symmetry_space_group_name_H-M 'P 4/m m m'
_symmetry_Int_Tables_number 123
_symmetry_space_group_name_Hall '-P 4 2'
loop_
_atom_site_label
_atom_site_type_symbol
_atom_site_fract_x
_atom_site_fract_y
_atom_site_fract_z
V1 V 0.000 0.500 0.000
Zn1 Zn 0.000 0.000 0.500
Co1 Co 0.500 0.500 0.500
N1 N 0.500 0.500 0.000
# **Uncorrected energy**: -36.84 eV for the cell shown
# **V**: 11.6 Å³ per atom
# **DOS(E_F)**: 1.10 states/eV/atom
# **Formation energy from raw total energies**: -0.380 eV per atom
# **Calculated density**: 6.866 g cm⁻³
# **Distance to the lowest polymorph of the same formula**: 0 meV/atom

---

# PBE V2ZnCoN, relaxed
data_V2ZnCoN
_cell_length_a 4.583
_cell_length_b 4.583
_cell_length_c 3.362
_cell_angle_alpha 90.00
_cell_angle_beta 90.00
_cell_angle_gamma 90.00
_symmetry_space_group_name_H-M 'P 4/m m m'
_symmetry_Int_Tables_number 123
_symmetry_space_group_name_Hall '-P 4 2'
loop_
_atom_site_label
_atom_site_type_symbol
_atom_site_fract_x
_atom_site_fract_y
_atom_site_fract_z
V1 V 0.000 0.500 0.000
Zn1 Zn 0.000 0.000 0.500
Co1 Co 0.500 0.500 0.000
N1 N 0.500 0.500 0.500
# **Uncorrected energy**: -30.78 eV for the cell shown
# **V**: 14.1 Å³ per atom
# **DOS(E_F)**: 1.10 states/eV/atom
# **Formation energy from raw total energies**: 0.832 eV per atom
# **Calculated density**: 5.648 g cm⁻³
# **Distance to the lowest polymorph of the same formula**: 1212 meV/atom

---

# PBE Zr2VCoN, relaxed
data_Zr2VCoN
_cell_length_a 4.513
_cell_length_b 4.513
_cell_length_c 3.787
_cell_angle_alpha 90.00
_cell_angle_beta 90.00
_cell_angle_gamma 90.00
_symmetry_space_group_name_H-M 'P 4/m m m'
_symmetry_Int_Tables_number 123
_symmetry_space_group_name_Hall '-P 4 2'
loop_
_atom_site_label
_atom_site_type_symbol
_atom_site_fract_x
_atom_site_fract_y
_atom_site_fract_z
Zr1 Zr 0.000 0.500 0.000
V1 V 0.000 0.000 0.500
Co1 Co 0.500 0.500 0.500
N1 N 0.000 0.000 0.000
# **Uncorrected energy**: -44.80 eV for the cell shown
# **V**: 15.4 Å³ per atom
# **DOS(E_F)**: 0.68 states/eV/atom
# **Formation energy from raw total energies**: -0.630 eV per atom
# **Calculated density**: 6.596 g cm⁻³

---

# PBE Co3WN, relaxed
data_Co3WN
_cell_length_a 4.474
_cell_length_b 4.474
_cell_length_c 4.474
_cell_angle_alpha 90.00
_cell_angle_beta 90.00
_cell_angle_gamma 90.00
_symmetry_space_group_name_H-M 'P m -3 m'
_symmetry_Int_Tables_number 221
_symmetry_space_group_name_Hall '-P 4 2 3'
loop_
_atom_site_label
_atom_site_type_symbol
_atom_site_fract_x
_atom_site_fract_y
_atom_site_fract_z
Co1 Co 0.000 0.000 0.500
W1 W 0.000 0.000 0.000
N1 N 0.500 0.500 0.500
# **Uncorrected energy**: -29.49 eV for the cell shown
# **V**: 17.9 Å³ per atom
# **DOS(E_F)**: 1.26 states/eV/atom
# **Formation energy from raw total energies**: 2.622 eV per atom
# **Calculated density**: 6.945 g cm⁻³
# **Distance to the lowest polymorph of the same formula**: 2307 meV/atom

---

# PBE Co6WN4, relaxed
data_Co6WN4
_cell_length_a 6.500
_cell_length_b 6.500
_cell_length_c 5.258
_cell_angle_alpha 90.00
_cell_angle_beta 90.00
_cell_angle_gamma 90.00
_symmetry_space_group_name_H-M 'P 42/n m c'
_symmetry_Int_Tables_number 137
loop_
_symmetry_equiv_pos_as_xyz
'x,y,z'
'-x,-y,-z'
'-y+1/2,x,z+1/2'
'y+1/2,-x,-z+1/2'
'-x+1/2,-y+1/2,z'
'x+1/2,y+1/2,-z'
'y,-x+1/2,z+1/2'
'-y,x+1/2,-z+1/2'
'x+1/2,-y,-z'
'-x+1/2,y,z'
'-y,-x,-z+1/2'
'y,x,z+1/2'
'-x,y+1/2,-z'
'x,-y+1/2,z'
'y+1/2,x+1/2,-z+1/2'
'-y+1/2,-x+1/2,z+1/2'
loop_
_atom_site_label
_atom_site_type_symbol
_atom_site_fract_x
_atom_site_fract_y
_atom_site_fract_z
Co1 Co 0.043 0.543 0.250
Co2 Co 0.250 0.250 0.036
W1 W 0.250 0.750 0.750
N1 N 0.030 0.750 0.494
# **Uncorrected energy**: -174.78 eV for the cell shown
# **V**: 10.1 Å³ per atom
# **DOS(E_F)**: 1.08 states/eV/atom
# **Formation energy from raw total energies**: 0.136 eV per atom
# **Calculated density**: 8.872 g cm⁻³

---

# PBE CoW3N, relaxed
data_CoW3N
_cell_length_a 4.425
_cell_length_b 4.425
_cell_length_c 4.425
_cell_angle_alpha 90.00
_cell_angle_beta 90.00
_cell_angle_gamma 90.00
_symmetry_space_group_name_H-M 'P m -3 m'
_symmetry_Int_Tables_number 221
_symmetry_space_group_name_Hall '-P 4 2 3'
loop_
_atom_site_label
_atom_site_type_symbol
_atom_site_fract_x
_atom_site_fract_y
_atom_site_fract_z
Co1 Co 0.000 0.000 0.000
W1 W 0.000 0.000 0.500
N1 N 0.500 0.500 0.500
# **Uncorrected energy**: -41.91 eV for the cell shown
# **V**: 17.3 Å³ per atom
# **DOS(E_F)**: 0.77 states/eV/atom
# **Formation energy from raw total energies**: 2.476 eV per atom
# **Calculated density**: 11.971 g cm⁻³
# **Distance to the lowest polymorph of the same formula**: 2313 meV/atom

---

# PBE Co3WN, relaxed
data_Co3WN
_cell_length_a 3.794
_cell_length_b 3.794
_cell_length_c 3.794
_cell_angle_alpha 90.00
_cell_angle_beta 90.00
_cell_angle_gamma 90.00
_symmetry_space_group_name_H-M 'P m -3 m'
_symmetry_Int_Tables_number 221
_symmetry_space_group_name_Hall '-P 4 2 3'
loop_
_atom_site_label
_atom_site_type_symbol
_atom_site_fract_x
_atom_site_fract_y
_atom_site_fract_z
Co1 Co 0.000 0.000 0.500
W1 W 0.500 0.500 0.500
N1 N 0.000 0.000 0.000
# **Uncorrected energy**: -41.02 eV for the cell shown
# **V**: 10.9 Å³ per atom
# **DOS(E_F)**: 1.26 states/eV/atom
# **Formation energy from raw total energies**: 0.316 eV per atom
# **Calculated density**: 11.391 g cm⁻³
# **Distance to the lowest polymorph of the same formula**: 0 meV/atom

---

# PBE CoW3N, relaxed
data_CoW3N
_cell_length_a 4.068
_cell_length_b 4.068
_cell_length_c 4.068
_cell_angle_alpha 90.00
_cell_angle_beta 90.00
_cell_angle_gamma 90.00
_symmetry_space_group_name_H-M 'P m -3 m'
_symmetry_Int_Tables_number 221
_symmetry_space_group_name_Hall '-P 4 2 3'
loop_
_atom_site_label
_atom_site_type_symbol
_atom_site_fract_x
_atom_site_fract_y
_atom_site_fract_z
Co1 Co 0.000 0.000 0.000
W1 W 0.000 0.500 0.500
N1 N 0.500 0.500 0.500
# **Uncorrected energy**: -53.47 eV for the cell shown
# **V**: 13.5 Å³ per atom
# **DOS(E_F)**: 1.00 states/eV/atom
# **Formation energy from raw total energies**: 0.163 eV per atom
# **Calculated density**: 15.404 g cm⁻³
# **Distance to the lowest polymorph of the same formula**: 0 meV/atom

---

# PBE ZnCo2WN, relaxed
data_ZnCo2WN
_cell_length_a 3.822
_cell_length_b 3.822
_cell_length_c 4.040
_cell_angle_alpha 90.00
_cell_angle_beta 90.00
_cell_angle_gamma 90.00
_symmetry_space_group_name_H-M 'P 4/m m m'
_symmetry_Int_Tables_number 123
_symmetry_space_group_name_Hall '-P 4 2'
loop_
_atom_site_label
_atom_site_type_symbol
_atom_site_fract_x
_atom_site_fract_y
_atom_site_fract_z
Zn1 Zn 0.000 0.000 0.000
Co1 Co 0.000 0.500 0.500
W1 W 0.500 0.500 0.000
N1 N 0.500 0.500 0.500
# **Uncorrected energy**: -36.80 eV for the cell shown
# **V**: 11.8 Å³ per atom
# **DOS(E_F)**: 0.74 states/eV/atom
# **Formation energy from raw total energies**: -0.007 eV per atom
# **Calculated density**: 10.727 g cm⁻³

---

# PBE YCoN2, relaxed
data_YCoN2
_cell_length_a 3.6375
_cell_length_b 3.6375
_cell_length_c 16.8200
_cell_angle_alpha 90.00
_cell_angle_beta 90.00
_cell_angle_gamma 120.00
_symmetry_space_group_name_H-M 'R -3 m'
_symmetry_Int_Tables_number 166
_symmetry_space_group_name_Hall '-R 3 2"'
loop_
_atom_site_label
_atom_site_type_symbol
_atom_site_fract_x
_atom_site_fract_y
_atom_site_fract_z
Y1 Y 0.0000 0.0000 0.0000
Co1 Co 0.0000 0.0000 0.5000
N1 N 0.0000 0.0000 0.3981
# **Uncorrected energy**: -93.63 eV for the cell shown
# **V**: 16.1 Å³ per atom
# **DOS(E_F)**: 1.58 states/eV/atom
# **Formation energy from raw total energies**: -0.247 eV per atom
# **Calculated density**: 4.545 g cm⁻³

---

# PBE Y2Co3N4, relaxed
data_Y2Co3N4
_cell_length_a 8.300
_cell_length_b 7.897
_cell_length_c 6.595
_cell_angle_alpha 90.00
_cell_angle_beta 100.71
_cell_angle_gamma 90.00
_symmetry_space_group_name_H-M 'C 1 2/c 1'
_symmetry_Int_Tables_number 15
loop_
_symmetry_equiv_pos_as_xyz
'x,y,z'
'-x,-y,-z'
'-x,y,-z+1/2'
'x,-y,z+1/2'
'x+1/2,y+1/2,z'
'-x+1/2,-y+1/2,-z'
'-x+1/2,y+1/2,-z+1/2'
'x+1/2,-y+1/2,z+1/2'
loop_
_atom_site_label
_atom_site_type_symbol
_atom_site_fract_x
_atom_site_fract_y
_atom_site_fract_z
Y1 Y 0.164 0.121 0.162
Co1 Co 0.000 0.244 0.750
Co2 Co 0.108 0.381 0.464
N1 N 0.103 0.380 0.978
N2 N 0.130 0.150 0.538
# **Uncorrected energy**: -286.88 eV for the cell shown
# **V**: 11.8 Å³ per atom
# **DOS(E_F)**: 0.73 states/eV/atom
# **Formation energy from raw total energies**: -0.464 eV per atom
# **Calculated density**: 6.422 g cm⁻³

---

# PBE YCoN2, relaxed
data_YCoN2
_cell_length_a 5.611
_cell_length_b 5.611
_cell_length_c 5.611
_cell_angle_alpha 90.00
_cell_angle_beta 90.00
_cell_angle_gamma 90.00
_symmetry_space_group_name_H-M 'F m -3 m'
_symmetry_Int_Tables_number 225
_symmetry_space_group_name_Hall '-F 4 2 3'
loop_
_atom_site_label
_atom_site_type_symbol
_atom_site_fract_x
_atom_site_fract_y
_atom_site_fract_z
Y1 Y 0.000 0.000 0.000
Co1 Co 0.000 0.000 0.500
N1 N 0.250 0.250 0.250
# **Uncorrected energy**: -119.97 eV for the cell shown
# **V**: 11.0 Å³ per atom
# **DOS(E_F)**: 0.35 states/eV/atom
# **Formation energy from raw total energies**: 0.057 eV per atom
# **Calculated density**: 6.613 g cm⁻³

---

# PBE Y3Co5N12, relaxed
data_Y3Co5N12
_cell_length_a 12.085
_cell_length_b 12.085
_cell_length_c 12.085
_cell_angle_alpha 90.00
_cell_angle_beta 90.00
_cell_angle_gamma 90.00
_symmetry_space_group_name_H-M 'I a -3 d'
_symmetry_Int_Tables_number 230
_symmetry_space_group_name_Hall '-I 4bd 2c 3'
loop_
_atom_site_label
_atom_site_type_symbol
_atom_site_fract_x
_atom_site_fract_y
_atom_site_fract_z
Y1 Y 0.000 0.250 0.125
Co1 Co 0.000 0.000 0.000
Co2 Co 0.000 0.250 0.375
N1 N 0.037 0.052 0.648
# **Uncorrected energy**: -1228.68 eV for the cell shown
# **V**: 11.0 Å³ per atom
# **DOS(E_F)**: 0.56 states/eV/atom
# **Formation energy from raw total energies**: 0.062 eV per atom
# **Calculated density**: 5.490 g cm⁻³

---

# PBE Y12Co3N5, relaxed
data_Y12Co3N5
_cell_length_a 15.121
_cell_length_b 15.121
_cell_length_c 15.121
_cell_angle_alpha 90.00
_cell_angle_beta 90.00
_cell_angle_gamma 90.00
_symmetry_space_group_name_H-M 'I a -3 d'
_symmetry_Int_Tables_number 230
_symmetry_space_group_name_Hall '-I 4bd 2c 3'
loop_
_atom_site_label
_atom_site_type_symbol
_atom_site_fract_x
_atom_site_fract_y
_atom_site_fract_z
Y1 Y 0.030 0.054 0.652
Co1 Co 0.000 0.250 0.125
N1 N 0.000 0.000 0.000
N2 N 0.000 0.250 0.375
# **Uncorrected energy**: -1237.54 eV for the cell shown
# **V**: 21.6 Å³ per atom
# **DOS(E_F)**: 0.76 states/eV/atom
# **Formation energy from raw total energies**: -0.709 eV per atom
# **Calculated density**: 5.047 g cm⁻³

---

# PBE YCoN2, relaxed
data_YCoN2
_cell_length_a 3.1940
_cell_length_b 3.1940
_cell_length_c 17.7225
_cell_angle_alpha 90.00
_cell_angle_beta 90.00
_cell_angle_gamma 120.00
_symmetry_space_group_name_H-M 'R -3 m'
_symmetry_Int_Tables_number 166
_symmetry_space_group_name_Hall '-R 3 2"'
loop_
_atom_site_label
_atom_site_type_symbol
_atom_site_fract_x
_atom_site_fract_y
_atom_site_fract_z
Y1 Y 0.0000 0.0000 0.0000
Co1 Co 0.0000 0.0000 0.5000
N1 N 0.0000 0.0000 0.1244
# **Uncorrected energy**: -85.08 eV for the cell shown
# **V**: 13.0 Å³ per atom
# **DOS(E_F)**: 0.88 states/eV/atom
# **Formation energy from raw total energies**: 0.465 eV per atom
# **Calculated density**: 5.595 g cm⁻³

---

# PBE Y2Co2N, relaxed
data_Y2Co2N
_cell_length_a 6.639
_cell_length_b 6.639
_cell_length_c 3.758
_cell_angle_alpha 90.00
_cell_angle_beta 90.00
_cell_angle_gamma 90.00
_symmetry_space_group_name_H-M 'P 4/m b m'
_symmetry_Int_Tables_number 127
_symmetry_space_group_name_Hall '-P 4 2ab'
loop_
_atom_site_label
_atom_site_type_symbol
_atom_site_fract_x
_atom_site_fract_y
_atom_site_fract_z
Y1 Y 0.189 0.311 0.000
Co1 Co 0.116 0.616 0.500
N1 N 0.000 0.000 0.500
# **Uncorrected energy**: -67.14 eV for the cell shown
# **V**: 16.6 Å³ per atom
# **DOS(E_F)**: 0.67 states/eV/atom
# **Formation energy from raw total energies**: 0.379 eV per atom
# **Calculated density**: 6.208 g cm⁻³

---

# PBE YCoN2, relaxed
data_YCoN2
_cell_length_a 4.635
_cell_length_b 4.635
_cell_length_c 9.893
_cell_angle_alpha 90.00
_cell_angle_beta 90.00
_cell_angle_gamma 90.00
_symmetry_space_group_name_H-M 'I -4 2 d'
_symmetry_Int_Tables_number 122
_symmetry_space_group_name_Hall 'I -4 2bw'
loop_
_atom_site_label
_atom_site_type_symbol
_atom_site_fract_x
_atom_site_fract_y
_atom_site_fract_z
Y1 Y 0.000 0.000 0.000
Co1 Co 0.000 0.000 0.500
N1 N 0.173 0.250 0.625
# **Uncorrected energy**: -127.99 eV for the cell shown
# **V**: 13.3 Å³ per atom
# **DOS(E_F)**: 0.63 states/eV/atom
# **Formation energy from raw total energies**: -0.444 eV per atom
# **Calculated density**: 5.496 g cm⁻³